This record from Alexandria describes Na4Ni3AsO8 after structural relaxation. The functional is PBE+U.

abc: 6.0416 6.3665 6.0422
angles: 118.34 120.00 90.00
Last column: magnetic moment on the atom in μB.
Atoms (fractional coordinates):
Ni (0.5000, 0.5000, 0.5000)  1.64
Ni (0.0000, 0.5000, 0.5000)  1.64
Ni (0.5000, 0.5000, 0.0000)  1.64
O (0.7821, 0.3018, 0.5641)  0.04
O (0.7302, 0.6907, 0.4605)  -0.10
O (0.2179, 0.6982, 0.4359)  0.04
O (0.2375, 0.3018, 0.0197)  0.04
O (0.2698, 0.3093, 0.5395)  -0.10
O (0.2179, 0.6982, 0.9803)  0.04
O (0.7821, 0.3018, 0.0197)  0.04
O (0.7625, 0.6982, 0.9803)  0.04
Na (0.5000, 0.0000, 0.5000)  0.01
Na (0.0000, 0.0000, 0.5000)  0.01
Na (0.0000, 0.0000, 0.0000)  0.01
Na (0.5000, 0.0000, 0.0000)  0.00
As (0.0000, 0.5000, 0.0000)  0.00

Calculated values
**Calculated volume**: 10.5 Å³/atom
**DFT total energy**: -4.917 eV per atom
**D(E_F)**: 3.514 states/eV/cell
**Space group**: R-3m